[1]
First-principles (PBE-GGA) data for crystalline Ca2FeMo at its relaxed geometry, as listed in Alexandria.

The structure in POSCAR format:
```
Ca2FeMo
1.0
3.9505 -0.0026 0.0543
1.9759 3.4209 0.0543
1.8702 1.0787 8.1106
Fe Ca Mo
1 2 1
Cartesian
3.9099 2.2552 3.2472
5.8567 3.3781 5.3308
5.9171 3.4130 0.8953
1.9376 1.1176 2.9640
```

energy relative to the lowest polymorph listed for this composition: 0 meV per atom
mass density: 3.5 g cm⁻³
energy of formation: 0.34 eV per atom

---

[2]
First-principles (PBE-GGA) data for crystalline Ca2FeMo at its relaxed geometry, as listed in Alexandria.

The structure in POSCAR format:
```
Ca2FeMo
1.0
-2.2037 0.5874 4.7665
-1.2380 -2.1511 4.6649
4.7314 1.5631 2.8361
Mo Ca Fe
1 2 1
Cartesian
0.3224 -0.0001 3.0669
0.6615 0.0069 6.0978
4.7147 1.5559 2.8720
0.9673 -0.0004 9.2006
```

energy relative to the lowest polymorph listed for this composition: 610 meV per atom
mass density: 4.6 g cm⁻³
energy of formation: 0.95 eV per atom

---

[3]
First-principles (PBE-GGA) data for crystalline CaFe2Mo at its relaxed geometry, as listed in Alexandria.

The structure in POSCAR format:
```
CaFe2Mo
1.0
4.1723 0.0000 0.0000
0.0000 3.0998 -0.0044
0.0000 1.5509 5.5350
Fe Mo Ca
2 1 1
Cartesian
2.0861 0.5842 1.5473
0.0000 0.5799 0.2982
0.0000 2.1321 2.0513
2.0861 3.6798 4.3992
```

mass density: 5.7 g cm⁻³
energy of formation: 0.55 eV per atom

---

[4]
First-principles (PBE-GGA) data for crystalline CaFeMo3 at its relaxed geometry, as listed in Alexandria.

The structure in POSCAR format:
```
CaFeMo3
1.0
4.5955 0.0000 0.0000
0.0000 4.5955 0.0000
0.0000 0.0000 4.5955
Fe Mo Ca
1 3 1
Cartesian
0.0000 0.0000 0.0000
0.0000 0.0000 2.2978
0.0000 2.2978 0.0000
2.2978 0.0000 0.0000
2.2978 2.2978 2.2978
```

energy relative to the lowest polymorph listed for this composition: 0 meV per atom
mass density: 6.6 g cm⁻³
energy of formation: 1.00 eV per atom

---

[5]
First-principles (PBE-GGA) data for crystalline Ca2FeMo at its relaxed geometry, as listed in Alexandria.

The structure in POSCAR format:
```
Ca2FeMo
1.0
-4.5396 -1.5138 1.3988
-3.1610 3.2236 2.1150
-4.0250 1.5494 -2.5009
Fe Ca Mo
1 2 1
Cartesian
0.0000 0.0000 0.0000
-8.7942 2.4444 0.7597
-2.9314 0.8148 0.2532
-5.8628 1.6296 0.5064
```

energy relative to the lowest polymorph listed for this composition: 839 meV per atom
mass density: 4.4 g cm⁻³
energy of formation: 1.17 eV per atom

---

[6]
First-principles (PBE-GGA) data for crystalline CaFeMo at its relaxed geometry, as listed in Alexandria.

The structure in POSCAR format:
```
CaFeMo
1.0
-2.6213 5.6118 0.3757
-3.3184 3.3014 4.0735
4.8342 -3.6423 -1.3670
Mo Fe Ca
1 1 1
Cartesian
-4.1999 6.3025 3.1460
-1.7708 2.6572 1.3264
-5.9087 8.8668 4.4260
```

energy relative to the lowest polymorph listed for this composition: 0 meV per atom
mass density: 5.6 g cm⁻³
energy of formation: 0.46 eV per atom

---

[7]
First-principles (PBE-GGA) data for crystalline CaFe2Mo at its relaxed geometry, as listed in Alexandria.

The structure in POSCAR format:
```
CaFe2Mo
1.0
-2.6206 2.7103 -5.7695
-6.0693 0.8460 3.1541
-3.5207 4.4348 -0.4341
Ca Mo Fe
2 2 4
Cartesian
-4.3449 1.7781 -1.3077
-6.9675 3.5294 0.7062
-5.2431 4.4616 -3.7557
0.0000 0.0000 0.0000
-5.5657 4.6132 -1.4797
-3.4207 3.0573 -3.6373
-10.5777 6.4843 -2.4407
-4.8570 1.8273 1.4587
```

mass density: 5.9 g cm⁻³
energy of formation: 0.87 eV per atom

---

[8]
First-principles (PBE-GGA) data for crystalline CaFe2Mo at its relaxed geometry, as listed in Alexandria.

The structure in POSCAR format:
```
CaFe2Mo
1.0
-1.9198 4.9226 -0.0480
-1.6564 4.2472 -2.6716
-4.8689 -0.2289 -0.4299
Fe Mo Ca
2 1 1
Cartesian
-2.2666 2.3970 -0.8446
-3.5144 8.7981 -2.6177
-4.0091 4.7966 -1.6373
-6.4540 6.5896 -2.3443
```

mass density: 6.4 g cm⁻³
energy of formation: 0.57 eV per atom

---

[9]
First-principles (PBE-GGA) data for crystalline Ca2FeMo at its relaxed geometry, as listed in Alexandria.

The structure in POSCAR format:
```
Ca2FeMo
1.0
5.6727 -0.1297 0.0000
2.7507 4.9629 0.0000
-4.2117 -2.4166 2.9356
Ca Mo Fe
2 1 1
Cartesian
0.0000 0.0000 0.0000
4.2117 2.4166 0.0000
2.8364 -0.0648 1.4678
1.3754 2.4814 1.4678
```

energy relative to the lowest polymorph listed for this composition: 603 meV per atom
mass density: 4.6 g cm⁻³
energy of formation: 0.94 eV per atom

---

[10]
First-principles (PBE-GGA) data for crystalline CaFeMo2N at its relaxed geometry, as listed in Alexandria.

The structure in POSCAR format:
```
CaFeMo2N
1.0
-3.7771 2.6619 -0.6905
-1.1111 -2.4526 -3.3765
-2.4734 -2.7755 2.8299
Ca Mo N Fe
1 2 1 1
Cartesian
0.0000 0.0000 0.0000
-1.8886 1.3310 -0.3453
-1.2367 -1.3877 1.4150
-3.6808 -1.2831 -0.6186
-0.5556 -1.2263 -1.6883
```

formation energy (no corrections): 3.5732 eV per atom
mass density: 5.3 g cm⁻³